(1)
# Sc2TcOs GGA-PBE relaxed
data_Sc2TcOs
_chemical_formula_sum 'Sc6 Tc3 Os3'
_cell_length_a 2.9918
_cell_length_b 2.9918
_cell_length_c 27.6402
_cell_angle_alpha 90.00
_cell_angle_beta 90.00
_cell_angle_gamma 120.00
_symmetry_space_group_name_H-M 'R -3 m'
_symmetry_Int_Tables_number 166
_symmetry_space_group_name_Hall '-R 3 2"'
loop_
_atom_site_label
_atom_site_fract_x
_atom_site_fract_y
_atom_site_fract_z
_atom_site_occupancy
Sc1 0.0000 0.0000 0.0910 1
Tc1 0.0000 0.0000 0.5000 1
Os1 0.0000 0.0000 0.0000 1
# crystal system = trigonal
# V = 17.9 Å³ per atom

(2)
# CaCd2Pd2 GGA-PBE relaxed
data_CaCd2Pd2
_chemical_formula_sum 'Ca2 Cd4 Pd4'
_cell_length_a 4.2150
_cell_length_b 4.2150
_cell_length_c 12.4983
_cell_angle_alpha 90.00
_cell_angle_beta 90.00
_cell_angle_gamma 90.00
_symmetry_space_group_name_H-M 'I 4/m m m'
_symmetry_Int_Tables_number 139
_symmetry_space_group_name_Hall '-I 4 2'
loop_
_atom_site_label
_atom_site_fract_x
_atom_site_fract_y
_atom_site_fract_z
_atom_site_occupancy
Ca1 0.0000 0.0000 0.0000 1
Cd1 0.0000 0.5000 0.2500 1
Pd1 0.0000 0.0000 0.3957 1
# crystal system = tetragonal
# V = 22.2 Å³ per atom

(3)
# Cs2LiAs GGA-PBE relaxed
data_Cs2LiAs
_chemical_formula_sum 'Cs8 Li4 As4'
_cell_length_a 11.3371
_cell_length_b 8.3540
_cell_length_c 6.5686
_cell_angle_alpha 90.00
_cell_angle_beta 90.00
_cell_angle_gamma 90.00
_symmetry_space_group_name_H-M 'C m c m'
_symmetry_Int_Tables_number 63
_symmetry_space_group_name_Hall '-C 2c 2'
loop_
_atom_site_label
_atom_site_fract_x
_atom_site_fract_y
_atom_site_fract_z
_atom_site_occupancy
Cs1 0.1675 0.1418 0.2500 1
Li1 0.0000 0.5000 0.0000 1
As1 0.0000 0.2716 0.7500 1
# crystal system = orthorhombic
# V = 38.9 Å³ per atom

E_form across the listed records, respectively: 382, -449, -420 meV per atom.
E_tot across the listed records, respectively: -98.2, -32.9, -39.8 eV per cell.